# 1
This record from Alexandria describes a geometry-optimized PaAl6Pd3 structure. The functional is GGA-PBE.

## Properties
crystal system: monoclinic

abc: 9.5211 3.2650 11.3710
angles: 90.00 101.83 90.00
With the nearest neighbours (Å) after each atom.
Sites, in units of the cell vectors:
Pa (0.0007, 0.2500, 0.2665)  7 Al 3.00-3.12, 4 Pd 3.13-3.35, 2 Pa 3.27
Pa (0.9993, 0.7500, 0.7335)  7 Al 3.00-3.12, 4 Pd 3.13-3.35, 2 Pa 3.27
Al (0.0943, 0.2500, 0.9628)  2 Pd 2.57, 4 Al 2.69-2.83
Al (0.2235, 0.7500, 0.1579)  3 Pd 2.69-2.75, 5 Al 2.80-2.89
Al (0.2418, 0.7500, 0.4068)  4 Pd 2.64-2.66, 3 Al 2.76-2.80
Al (0.3192, 0.7500, 0.7154)  4 Pd 2.56-2.72, 3 Al 2.74-2.86
Al (0.4280, 0.2500, 0.5620)  4 Pd 2.56-2.86, 6 Al 2.71-2.76
Al (0.4420, 0.2500, 0.0855)  4 Pd 2.57-2.62, 1 Al 2.86
Al (0.5580, 0.7500, 0.9145)  4 Pd 2.57-2.62, 1 Al 2.86
Al (0.5720, 0.7500, 0.4380)  4 Pd 2.56-2.86, 6 Al 2.71-2.76
Al (0.6808, 0.2500, 0.2846)  4 Pd 2.56-2.72, 3 Al 2.74-2.86
Al (0.7582, 0.2500, 0.5932)  4 Pd 2.64-2.66, 3 Al 2.76-2.80
Al (0.7765, 0.2500, 0.8421)  3 Pd 2.69-2.75, 5 Al 2.80-2.89
Al (0.9057, 0.7500, 0.0372)  2 Pd 2.57, 4 Al 2.69-2.83
Pd (0.1500, 0.2500, 0.5600)  5 Al 2.64-2.69
Pd (0.2936, 0.7500, 0.9351)  7 Al 2.56-2.75
Pd (0.4014, 0.2500, 0.3065)  9 Al 2.56-2.86
Pd (0.5986, 0.7500, 0.6935)  9 Al 2.56-2.86
Pd (0.7064, 0.2500, 0.0649)  7 Al 2.56-2.75
Pd (0.8500, 0.7500, 0.4400)  5 Al 2.64-2.69

# 2
This record from Alexandria describes a geometry-optimized PaAlRePd structure. The functional is GGA-PBE.

## Properties
crystal system: cubic

abc: 6.6438 6.6438 6.6438
angles: 90.00 90.00 90.00
With the nearest neighbours (Å) after each atom.
Sites, in units of the cell vectors:
Pa (0.0000, 0.0000, 0.0000)  4 Pd 2.88, 4 Re 2.88
Pa (0.0000, 0.5000, 0.5000)  4 Pd 2.88, 4 Re 2.88
Pa (0.5000, 0.0000, 0.5000)  4 Pd 2.88, 4 Re 2.88
Pa (0.5000, 0.5000, 0.0000)  4 Pd 2.88, 4 Re 2.88
Al (0.0000, 0.0000, 0.5000)  4 Re 2.88, 4 Pd 2.88
Al (0.0000, 0.5000, 0.0000)  4 Re 2.88, 4 Pd 2.88
Al (0.5000, 0.0000, 0.0000)  4 Re 2.88, 4 Pd 2.88
Al (0.5000, 0.5000, 0.5000)  4 Re 2.88, 4 Pd 2.88
Re (0.2500, 0.2500, 0.2500)  4 Pa 2.88, 4 Al 2.88
Re (0.2500, 0.7500, 0.7500)  4 Pa 2.88, 4 Al 2.88
Re (0.7500, 0.2500, 0.7500)  4 Pa 2.88, 4 Al 2.88
Re (0.7500, 0.7500, 0.2500)  4 Pa 2.88, 4 Al 2.88
Pd (0.2500, 0.2500, 0.7500)  4 Pa 2.88, 4 Al 2.88
Pd (0.2500, 0.7500, 0.2500)  4 Al 2.88, 4 Pa 2.88
Pd (0.7500, 0.2500, 0.2500)  4 Al 2.88, 4 Pa 2.88
Pd (0.7500, 0.7500, 0.7500)  4 Al 2.88, 4 Pa 2.88

# 3
This record from Alexandria describes a geometry-optimized PaAlPdRu structure. The functional is GGA-PBE.

## Properties
crystal system: cubic

abc: 6.6324 6.6324 6.6324
angles: 90.00 90.00 90.00
With the nearest neighbours (Å) after each atom.
Sites, in units of the cell vectors:
Pa (0.0000, 0.0000, 0.0000)  4 Ru 2.87, 4 Pd 2.87
Pa (0.0000, 0.5000, 0.5000)  4 Ru 2.87, 4 Pd 2.87
Pa (0.5000, 0.0000, 0.5000)  4 Ru 2.87, 4 Pd 2.87
Pa (0.5000, 0.5000, 0.0000)  4 Ru 2.87, 4 Pd 2.87
Al (0.0000, 0.0000, 0.5000)  4 Ru 2.87, 4 Pd 2.87
Al (0.0000, 0.5000, 0.0000)  4 Ru 2.87, 4 Pd 2.87
Al (0.5000, 0.0000, 0.0000)  4 Ru 2.87, 4 Pd 2.87
Al (0.5000, 0.5000, 0.5000)  4 Ru 2.87, 4 Pd 2.87
Pd (0.2500, 0.2500, 0.2500)  4 Pa 2.87, 4 Al 2.87
Pd (0.2500, 0.7500, 0.7500)  4 Pa 2.87, 4 Al 2.87
Pd (0.7500, 0.2500, 0.7500)  4 Pa 2.87, 4 Al 2.87
Pd (0.7500, 0.7500, 0.2500)  4 Pa 2.87, 4 Al 2.87
Ru (0.2500, 0.2500, 0.7500)  4 Pa 2.87, 4 Al 2.87
Ru (0.2500, 0.7500, 0.2500)  4 Pa 2.87, 4 Al 2.87
Ru (0.7500, 0.2500, 0.2500)  4 Pa 2.87, 4 Al 2.87
Ru (0.7500, 0.7500, 0.7500)  4 Pa 2.87, 4 Al 2.87

Sequential ΔE_f output: -471, -252, -492 meV/atom
Sequential energy output: -52.24, -31.89, -29.67 eV per formula unit